Material: AcTm5Au6
Method: DFT, PBE
State: relaxed

Summary:
Raw total energy: -4.684 eV per atom

abc: 5.110 7.193 8.146
angles: 90.00 108.09 90.00
Fractional coordinates of all 12 atoms:
Ac 0.000 0.000 0.000
Tm 0.000 0.500 0.000
Tm 0.329 0.000 0.658
Tm 0.335 0.500 0.670
Tm 0.665 0.500 0.330
Tm 0.671 0.000 0.342
Au 0.176 0.261 0.352
Au 0.176 0.739 0.352
Au 0.500 0.276 0.000
Au 0.500 0.724 0.000
Au 0.824 0.261 0.648
Au 0.824 0.739 0.648